VASP calculation (PBE-GGA) on a geometry-optimized Tl5Sb2Se6 structure.

Computed properties:
Raw total energy (eV per atom): -3.452
Symmetry: P2_1/c
Energy relative to the elements, uncorrected (eV per formula unit): -3.9

The structure in POSCAR format:
```
Tl5Sb2Se6
1.0
-0.7367 4.2335 -2.8374
-12.2338 0.6073 4.0824
3.9802 7.8806 10.7552
Tl Se Sb
10 12 4
Direct
0.5003 0.1874 0.9831
0.5003 0.9971 0.7368
0.5003 0.3126 0.4831
0.5000 0.5000 0.0000
0.4997 0.0029 0.2632
0.5003 0.5029 0.2368
0.4997 0.4971 0.7632
0.5000 0.0000 0.5000
0.4997 0.8126 0.0169
0.4997 0.6874 0.5169
0.4997 0.2433 0.2150
0.4997 0.2567 0.7150
0.0006 0.4435 0.3593
0.0002 0.3498 0.9361
0.9994 0.5565 0.6407
0.5003 0.7567 0.7850
0.9994 0.9435 0.1407
0.0002 0.1502 0.4361
0.9998 0.8498 0.5639
0.9998 0.6502 0.0639
0.0006 0.0565 0.8593
0.5003 0.7433 0.2850
0.0001 0.7618 0.2185
0.9999 0.2618 0.2815
0.9999 0.2382 0.7815
0.0001 0.7382 0.7185
```

VASP calculation (PBE-GGA) on a geometry-optimized LiAc2Pt3 structure.

Computed properties:
ΔE to the lowest computed polymorph (eV/atom): 0.0000
Raw total energy (eV per atom): -5.653
Symmetry: Fmmm

The structure in POSCAR format:
```
LiAc2Pt3
1.0
6.0783 -0.1096 0.0000
-0.3456 6.0695 0.0000
-2.8664 -2.9800 7.8258
Pt Li Ac
6 2 4
Direct
0.8260 0.3457 0.1717
0.6543 0.1740 0.8283
0.3457 0.8260 0.1717
0.8266 0.8266 0.6533
0.1740 0.6543 0.8283
0.1734 0.1734 0.3467
0.3336 0.3336 0.6671
0.6664 0.6664 0.3329
0.2500 0.7500 0.5000
0.7535 0.7535 0.0000
0.7500 0.2500 0.5000
0.2465 0.2465 0.0000
```

VASP calculation (PBE-GGA) on a geometry-optimized InHg3Pb2 structure.

Computed properties:
ΔE to the lowest computed polymorph (eV/atom): 0.0000
Raw total energy (eV per atom): -1.817
Symmetry: P2_1/m

The structure in POSCAR format:
```
InHg3Pb2
1.0
3.8101 0.0000 0.0000
0.0000 7.6160 0.8040
0.0000 -1.1624 11.3892
Hg Pb In
6 4 2
Direct
0.7500 0.6270 0.2676
0.7500 0.6071 0.8935
0.2500 0.8936 0.4059
0.7500 0.1064 0.5941
0.2500 0.3929 0.1065
0.2500 0.3730 0.7324
0.2500 0.8338 0.0717
0.7500 0.6501 0.5803
0.7500 0.1662 0.9283
0.2500 0.3499 0.4197
0.7500 0.1058 0.2344
0.2500 0.8942 0.7656
```